This record from Alexandria describes a geometry-optimized AcScCoO4 structure. The functional is GGA+U.

abc: 5.195 5.195 5.195
angles: 115.01 115.01 98.88
Positions (direct):
Ac (0.000, 0.000, 0.000)
Sc (0.500, 0.500, 0.000)
Co (0.250, 0.750, 0.500)
O (0.137, 0.534, 0.046)
O (0.466, 0.512, 0.603)
O (0.488, 0.091, 0.954)
O (0.909, 0.863, 0.397)

Results
The crystal system is tetragonal. For the total energy, the calculation gives -52.7 eV per cell.